VASP calculation (GGA-PBE) on Er5Hg3 after structural relaxation.

The structure in POSCAR format:
```
Er5Hg3
1.0
3.633 0.000 0.000
0.000 3.633 0.000
0.000 0.000 16.250
Er Hg
5 3
Direct
0.000 0.000 0.232
0.500 0.500 0.619
0.500 0.500 0.381
0.000 0.000 0.768
0.000 0.000 0.000
0.500 0.500 0.116
0.500 0.500 0.884
0.000 0.000 0.500
```

## Properties
* SG: P4/mmm
* final energy: -3.301 eV per atom
* DOS at the Fermi energy: 9.23 states/eV/cell
* ΔH_f (0 K): -0.3363 eV/atom